Entry 1:
Computed, not measured: a relaxed PC2 crystal at the PBE level of DFT.

Cell lengths 2.9238, 4.1878, 4.3296 Å; angles 80.61, 77.71, 69.55 degrees
Last column: nearest neighbours and their distance in Å.
Fractional positions:
P (0.2942, 0.7921, 0.3176)  3 C 1.64-1.79
C (0.4737, 0.3745, 0.4037)  1 C 1.33
C (0.6477, 0.0354, 0.3962)  1 C 1.33

Results
As for the symmetry: P1, No. 1. The calculation puts the energy of formation from the pure elements at 1.0035 eV/atom. The total moment comes out at 0.0 μB per cell. The calculation puts the energy above the most stable polymorph in this dataset at 774 meV/atom. As for the uncorrected energy: -6.949 eV per atom.

***

Entry 2:
Computed, not measured: a relaxed PC2 crystal at the PBE level of DFT.

Cell lengths 2.8492, 3.7371, 4.5704 Å; angles 90.00, 90.00, 90.00 degrees
Last column: nearest neighbours and their distance in Å.
Fractional positions:
P (0.0000, 0.0000, 0.0000)  6 C 1.93-1.98
P (0.5000, 0.5000, 0.5000)  6 C 1.93-1.98
C (0.0000, 0.1490, 0.5947)  1 C 1.41
C (0.0000, 0.8510, 0.4053)  1 C 1.41
C (0.5000, 0.6490, 0.9053)  1 C 1.41
C (0.5000, 0.3510, 0.0947)  1 C 1.41

Results
As for the symmetry: Pnnm, No. 58. The calculation puts the energy of formation from the pure elements at 0.7438 eV/atom. The total moment comes out at 0.0 μB per cell. The calculation puts the energy above the most stable polymorph in this dataset at 514 meV/atom. As for the uncorrected energy: -7.209 eV per atom.

***

Entry 3:
Computed, not measured: a relaxed P5C3 crystal at the PBE level of DFT.

Cell lengths 2.6729, 2.6729, 14.2053 Å; angles 90.00, 90.00, 90.00 degrees
Last column: nearest neighbours and their distance in Å.
Fractional positions:
P (0.0000, 0.0000, 0.0000)  6 P 2.40-2.67
P (0.0000, 0.0000, 0.1686)  4 C 1.90
P (0.0000, 0.0000, 0.8314)  4 C 1.90
P (0.5000, 0.5000, 0.4220)  4 C 2.19, 1 P 2.22
P (0.5000, 0.5000, 0.5780)  4 C 2.19, 1 P 2.22
C (0.0000, 0.0000, 0.5000)  8 P 2.19
C (0.5000, 0.5000, 0.1854)  4 P 1.90
C (0.5000, 0.5000, 0.8146)  4 P 1.90

Results
As for the symmetry: P4/mmm, No. 123. The calculation puts the energy of formation from the pure elements at 1.2543 eV/atom. The total moment comes out at 0.0 μB per cell. The calculation puts the energy above the most stable polymorph in this dataset at 657 meV/atom. As for the uncorrected energy: -5.586 eV per atom.